# 1
Compound: TiPb
Source: the Alexandria database
Functional: PBE
Structure: relaxed

abc: 7.7943 7.7943 7.7943
angles: 90.00 90.00 90.00
Closest atoms and distances in Å follow each position.
Space group Pm-3n (No. 223)
One atom of each set of equivalent atoms:
1 Ti 0.0000 0.2500 0.5000 [6 per cell]  4 Pb 2.76
2 Pb 0.0000 0.5000 0.2500 [6 per cell]  4 Ti 2.76



# 2
Compound: Ce2Al5Pt3
Source: the Alexandria database
Functional: PBE
Structure: relaxed

abc: 4.3688 25.0291 6.8315
angles: 90.00 90.00 90.00
Closest atoms and distances in Å follow each position.
Space group Cmc2_1 (No. 36)
One atom of each set of equivalent atoms:
1 Ce 0.0000 0.0190 0.0000 [4 per cell]  3 Pt 2.80-3.03, 2 Al 3.08
2 Ce 0.0000 0.3267 0.9608 [4 per cell]  9 Al 3.07-3.25, 4 Pt 3.09-3.31
3 Al 0.0000 0.1023 0.6456 [4 per cell]  3 Pt 2.58-2.71, 1 Al 2.81
4 Al 0.0000 0.2070 0.1417 [4 per cell]  4 Pt 2.59-2.63, 1 Al 2.71
5 Al 0.0000 0.2110 0.7454 [4 per cell]  3 Pt 2.59-2.60, 2 Al 2.71-2.81
6 Al 0.0000 0.3737 0.4872 [4 per cell]  2 Pt 2.55-2.64
7 Al 0.0000 0.4457 0.8283 [4 per cell]  4 Pt 2.62-2.75
8 Pt 0.0000 0.1079 0.2493 [4 per cell]  6 Al 2.59-2.86, 1 Ce 2.80
9 Pt 0.0000 0.2726 0.4414 [4 per cell]  7 Al 2.55-2.63
10 Pt 0.0000 0.4489 0.2161 [4 per cell]  5 Al 2.58-2.75



Number 1: ΔH_f (0 K) 188 kJ/mol of formula units. Number 2: ΔH_f (0 K) -940 kJ/mol of formula units.